DFT (PBE) results for a geometry-optimized Cs3I3N2 structure.

Calculated values
The calculation puts the size of the total moment at 2.00 μB per formula unit. The density of states at the Fermi level is 0.009 states/eV/atom. The formation energy (no corrections) is -0.014 eV/atom.

Structure (extended XYZ):
```
16
Lattice="-5.187 -0.750 2.517 4.620 -4.618 1.431 -16.183 9.493 29.819" Properties=species:S:1:pos:R:3 pbc="T T T"
N -5.025 2.394 11.713
N -2.020 -0.225 4.585
N -14.729 4.350 29.182
N -11.724 1.731 22.054
Cs -10.688 3.549 24.287
Cs -2.253 -3.197 6.261
Cs -8.880 4.705 18.414
Cs -7.869 -0.579 15.353
Cs -6.062 0.576 9.479
Cs -14.496 7.322 27.506
I -7.949 1.090 19.083
I -2.689 -0.968 9.255
I -14.060 5.093 24.512
I -8.801 3.035 14.683
I -12.998 4.953 30.060
I -3.751 -0.828 3.706
```

DFT (PBE) results for a geometry-optimized DyLuCoRu structure.

Calculated values
The calculated formation energy is -0.311 eV per atom. The calculation puts the size of the total moment at 0.00 μB per formula unit. The density of states at the Fermi level is 0.868 states/eV/atom.

Structure (extended XYZ):
```
4
Lattice="4.714 0.000 0.000 2.357 4.083 0.000 2.357 1.361 3.849" Properties=species:S:1:pos:R:3 pbc="T T T"
Dy 4.714 2.722 1.925
Lu 0.000 0.000 0.000
Ru 7.071 4.083 2.887
Co 2.357 1.361 0.962
```